Record 1
# LiSn2Te4

An optimized crystal structure of LiSn2Te4 (PBE, the Alexandria database).

Values from the calculation:
Formation energy without anion corrections: -0.290 eV/atom
Total magnetization: 0.00 μB/f.u.
Total DFT energy (no corrections): -3.502 eV/atom

a = 6.313 Å, b = 6.313 Å, c = 6.197 Å
α = 90.00°, β = 90.00°, γ = 90.00°
Fractional coordinates of all 7 atoms:
Te  0.729  0.729  0.204
Te  0.729  0.271  0.796
Te  0.271  0.271  0.204
Te  0.271  0.729  0.796
Sn  0.500  0.000  0.500
Sn  0.000  0.500  0.500
Li  0.000  0.000  0.000


Record 2
# LaSn3Mo

An optimized crystal structure of LaSn3Mo (PBE, the Alexandria database).

Values from the calculation:
Total magnetization: 0.00 μB/f.u.
Energy relative to the elements: 11 kJ/mol of formula units
Total DFT energy (no corrections): -5.530 eV/atom

a = 5.238 Å, b = 5.238 Å, c = 5.238 Å
α = 90.00°, β = 90.00°, γ = 90.00°
Fractional coordinates of all 5 atoms:
Mo  0.000  0.000  0.000
Sn  0.000  0.000  0.500
Sn  0.500  0.000  0.000
Sn  0.000  0.500  0.000
La  0.500  0.500  0.500


Record 3
# KGeAs4

An optimized crystal structure of KGeAs4 (PBE, the Alexandria database).

Values from the calculation:
Total magnetization: 0.00 μB/f.u.
Energy relative to the elements: -27 kJ/mol of formula units
Total DFT energy (no corrections): -4.098 eV/atom

a = 9.644 Å, b = 8.685 Å, c = 6.726 Å
α = 130.21°, β = 113.69°, γ = 90.00°
Fractional coordinates of all 12 atoms:
As  0.462  0.744  0.488
As  0.391  0.212  0.712
As  0.391  0.500  0.712
As  0.000  0.287  0.000
As  0.609  0.788  0.288
As  0.609  0.500  0.288
As  0.538  0.256  0.512
As  0.000  0.713  0.000
K  0.850  0.133  0.266
K  0.150  0.867  0.734
Ge  0.829  0.486  0.972
Ge  0.171  0.514  0.028


Record 4
# ZrCdMoPb2

An optimized crystal structure of ZrCdMoPb2 (PBE, the Alexandria database).

Values from the calculation:
Total magnetization: 3.10 μB/f.u.
Energy relative to the elements: 742 kJ/mol of formula units
Total DFT energy (no corrections): -4.003 eV/atom

a = 5.403 Å, b = 5.450 Å, c = 5.403 Å
α = 90.00°, β = 90.00°, γ = 90.00°
Fractional coordinates of all 5 atoms:
Cd  0.000  0.000  0.000
Zr  0.000  0.500  0.000
Pb  0.500  0.000  0.000
Pb  0.000  0.000  0.500
Mo  0.500  0.500  0.500


Record 5
# K5Na4Hg2

An optimized crystal structure of K5Na4Hg2 (PBE, the Alexandria database).

Values from the calculation:
Total magnetization: 0.00 μB/f.u.
Energy relative to the elements: -79 kJ/mol of formula units
Total DFT energy (no corrections): -1.108 eV/atom

a = 4.252 Å, b = 9.959 Å, c = 12.321 Å
α = 98.04°, β = 90.00°, γ = 90.00°
Fractional coordinates of all 11 atoms:
Na  0.500  0.812  0.187
Na  0.500  0.833  0.555
Na  0.500  0.188  0.813
Na  0.500  0.167  0.445
K  0.000  0.450  0.654
K  0.000  0.859  0.849
K  0.000  0.500  0.000
K  0.000  0.141  0.151
K  0.000  0.550  0.346
Hg  0.000  0.076  0.625
Hg  0.000  0.924  0.375